A relaxed structure of Er2MgRu. Source: Alexandria via LeMat-Bulk, functional PBE-GGA.

The structure in POSCAR format:
```
Er2MgRu
1.0
4.912 0.000 0.000
0.000 4.912 0.000
0.000 0.000 3.627
Er Mg Ru
2 1 1
Cartesian
0.000 2.456 0.000
2.456 0.000 0.000
0.000 0.000 1.813
2.456 2.456 1.813
```

The spin magnetization is 0.0000 μB/atom. The total energy comes out at -5.171 eV per atom. For the calculated volume, the calculation gives 21.88 Å³/atom. Its formation energy is -0.17 eV per atom.


A relaxed structure of ZrCu2Ir. Source: Alexandria via LeMat-Bulk, functional PBE-GGA.

The structure in POSCAR format:
```
ZrCu2Ir
1.0
6.281 0.000 0.000
0.000 6.281 0.000
0.000 0.000 6.281
Zr Cu Ir
4 8 4
Cartesian
0.000 0.000 0.000
0.000 3.140 3.140
3.140 0.000 3.140
3.140 3.140 0.000
0.000 0.000 3.140
0.000 3.140 0.000
1.570 1.570 1.570
1.570 4.711 4.711
3.140 0.000 0.000
3.140 3.140 3.140
4.711 1.570 4.711
4.711 4.711 1.570
1.570 1.570 4.711
1.570 4.711 1.570
4.711 1.570 1.570
4.711 4.711 4.711
```

The spin magnetization is 0.0000 μB/atom. The total energy comes out at -6.654 eV per atom. The excess energy over the best structure of this formula in the dataset comes out at 0.137 eV per atom. For the calculated volume, the calculation gives 15.49 Å³/atom. Its formation energy is -0.25 eV per atom.


Question: Look up the total energy of the first one.
Answer: -5.171 eV per atom